La2Y2Ho3 | PBE-GGA | relaxed

a = 3.530 Å, b = 8.600 Å, c = 9.058 Å
α = 118.39°, β = 101.24°, γ = 90.00°
Element x y z (fractional)
Ho (0.000, 0.500, 0.000)
Ho (0.212, 0.799, 0.424)
Ho (0.788, 0.201, 0.576)
La (0.568, 0.915, 0.135)
La (0.432, 0.085, 0.865)
Y (0.848, 0.660, 0.695)
Y (0.152, 0.340, 0.305)

Computed properties:
**Calculated volume**: 33.7 Å³/atom
**Raw total energy**: -35.611 eV/cell
**DOS(E_F)**: 1.683 states/eV per atom
**Energy above the lowest structure with this stoichiometry**: 0.107 eV/atom
**Spin magnetization**: 0.0 μB per formula unit

---

Sr3AgBi2 | PBE-GGA | relaxed

a = 4.903 Å, b = 13.300 Å, c = 13.173 Å
α = 90.00°, β = 90.00°, γ = 90.00°
Element x y z (fractional)
Sr (0.250, 0.444, 0.372)
Sr (0.750, 0.299, 0.783)
Sr (0.250, 0.799, 0.717)
Sr (0.750, 0.201, 0.283)
Sr (0.750, 0.874, 0.443)
Sr (0.250, 0.701, 0.217)
Sr (0.250, 0.056, 0.872)
Sr (0.750, 0.944, 0.128)
Sr (0.250, 0.374, 0.057)
Sr (0.250, 0.126, 0.557)
Sr (0.750, 0.556, 0.628)
Sr (0.750, 0.626, 0.943)
Bi (0.750, 0.504, 0.187)
Bi (0.250, 0.004, 0.313)
Bi (0.750, 0.183, 0.015)
Bi (0.750, 0.317, 0.515)
Bi (0.250, 0.496, 0.813)
Bi (0.750, 0.996, 0.687)
Bi (0.250, 0.683, 0.485)
Bi (0.250, 0.817, 0.985)
Ag (0.750, 0.867, 0.869)
Ag (0.250, 0.133, 0.131)
Ag (0.750, 0.633, 0.369)
Ag (0.250, 0.367, 0.631)

Computed properties:
**Calculated volume**: 35.8 Å³/atom
**Raw total energy**: -79.897 eV/cell
**DOS(E_F)**: 0.251 states/eV per atom
**Spin magnetization**: 0.9 μB per formula unit

---

CdInGe | PBE-GGA | relaxed

a = 3.216 Å, b = 3.216 Å, c = 7.749 Å
α = 90.00°, β = 90.00°, γ = 120.00°
Element x y z (fractional)
Ge (0.333, 0.667, 0.661)
In (0.000, 0.000, 0.993)
Cd (0.667, 0.333, 0.345)

Computed properties:
**Calculated volume**: 23.1 Å³/atom
**Raw total energy**: -7.810 eV/cell
**DOS(E_F)**: 0.233 states/eV per atom
**Spin magnetization**: 0.0 μB per formula unit

---

Nd4PtI | PBE-GGA | relaxed

a = 7.198 Å, b = 7.651 Å, c = 9.133 Å
α = 106.77°, β = 104.81°, γ = 109.30°
Element x y z (fractional)
Nd (0.440, 0.727, 0.860)
Nd (0.560, 0.273, 0.140)
Nd (0.720, 0.971, 0.404)
Nd (0.280, 0.029, 0.596)
Nd (0.081, 0.867, 0.140)
Nd (0.184, 0.433, 0.404)
Nd (0.816, 0.567, 0.596)
Nd (0.919, 0.133, 0.860)
Pt (0.179, 0.929, 0.858)
Pt (0.821, 0.071, 0.142)
I (0.688, 0.438, 0.876)
I (0.312, 0.562, 0.124)

Computed properties:
**Calculated volume**: 34.9 Å³/atom
**Formation energy (no corrections)**: -0.549 eV per atom
**Raw total energy**: -59.908 eV/cell
**DOS(E_F)**: 1.016 states/eV per atom
**Spin magnetization**: 0.0 μB per formula unit

---

SrAcGaRh | PBE-GGA | relaxed

a = 5.344 Å, b = 5.344 Å, c = 5.344 Å
α = 60.00°, β = 60.00°, γ = 60.00°
Element x y z (fractional)
Rh (0.000, 0.000, 0.000)
Ac (0.750, 0.750, 0.750)
Sr (0.250, 0.250, 0.250)
Ga (0.500, 0.500, 0.500)

Computed properties:
**Calculated volume**: 27.0 Å³/atom
**Raw total energy**: -17.496 eV/cell
**DOS(E_F)**: 0.621 states/eV per atom
**Energy above the lowest structure with this stoichiometry**: 0.199 eV/atom
**Spin magnetization**: 0.0 μB per formula unit

---

U2Ge2Ru3 | PBE-GGA | relaxed

a = 6.968 Å, b = 6.968 Å, c = 6.968 Å
α = 109.47°, β = 109.47°, γ = 109.47°
Element x y z (fractional)
U (0.500, 0.486, 0.500)
U (0.986, 0.500, 0.000)
U (0.514, 0.014, 0.014)
U (0.000, 0.000, 0.486)
Ru (0.250, 0.997, 0.247)
Ru (0.753, 0.250, 0.503)
Ru (0.747, 0.750, 0.997)
Ru (0.750, 0.503, 0.253)
Ru (0.497, 0.247, 0.750)
Ru (0.003, 0.253, 0.250)
Ge (0.112, 0.612, 0.612)
Ge (0.388, 0.500, 0.000)
Ge (0.000, 0.000, 0.888)
Ge (0.500, 0.888, 0.500)

Computed properties:
**Calculated volume**: 18.6 Å³/atom
**Raw total energy**: -123.134 eV/cell
**DOS(E_F)**: 1.264 states/eV per atom
**Spin magnetization**: 1.6 μB per formula unit

---

BaSrPb2 | PBE-GGA | relaxed

a = 6.271 Å, b = 6.271 Å, c = 3.868 Å
α = 90.00°, β = 90.00°, γ = 105.35°
Element x y z (fractional)
Ba (0.000, 0.500, 0.500)
Pb (0.500, 0.500, 0.000)
Pb (0.000, 0.000, 0.000)
Sr (0.500, 0.000, 0.500)

Computed properties:
**Calculated volume**: 36.7 Å³/atom
**Raw total energy**: -13.034 eV/cell
**DOS(E_F)**: 0.458 states/eV per atom
**Spin magnetization**: 0.0 μB per formula unit

---

Rb2AsPb | PBE-GGA | relaxed

a = 12.984 Å, b = 12.984 Å, c = 9.593 Å
α = 47.41°, β = 47.41°, γ = 90.00°
Element x y z (fractional)
Rb (0.450, 0.125, 0.250)
Rb (0.375, 0.550, 0.750)
Rb (0.300, 0.625, 0.250)
Rb (0.875, 0.700, 0.750)
As (0.250, 0.750, 0.500)
As (0.500, 0.500, 0.000)
Pb (0.000, 0.000, 0.000)
Pb (0.750, 0.250, 0.500)

Computed properties:
**Calculated volume**: 58.6 Å³/atom
**Raw total energy**: -21.009 eV/cell
**DOS(E_F)**: 0.856 states/eV per atom
**Energy above the lowest structure with this stoichiometry**: 0.223 eV/atom
**Spin magnetization**: 0.0 μB per formula unit